A relaxed structure of LuMgCoAg, computed with PBE.

Properties
* total DFT energy (no corrections): -4.1162 eV per atom
* magnetization: 0.03 μB/f.u.
* ΔH_f (0 K): -0.4 eV per formula unit
* D(E_F): 3.0 states/eV/cell

Lattice parameters (Å, degrees): 4.6827 4.6827 4.6827 60.00 60.00 60.00
Positions (direct):
Lu: 0.0000 0.0000 0.0000
Ag: 0.2500 0.2500 0.2500
Co: 0.7500 0.7500 0.7500
Mg: 0.5000 0.5000 0.5000



A relaxed structure of TeMo2Ru, computed with PBE.

Properties
* total DFT energy (no corrections): -8.1644 eV per atom
* magnetization: 0.00 μB/f.u.
* raw formation energy: 8.199 kcal/mol of atoms
* D(E_F): 3.7 states/eV/cell

Lattice parameters (Å, degrees): 3.2503 4.4153 4.6322 90.00 90.00 90.00
Positions (direct):
Mo: 0.0000 0.0000 0.0000
Te: 0.0000 0.5000 0.5000
Mo: 0.5000 0.5000 0.0000
Ru: 0.5000 0.0000 0.5000



A relaxed structure of USn2Te, computed with PBE.

Properties
* total DFT energy (no corrections): -5.7507 eV per atom
* magnetization: 2.25 μB/f.u.
* raw formation energy: -3.270 kcal/mol of atoms
* D(E_F): 7.7 states/eV/cell

Lattice parameters (Å, degrees): 5.2458 4.4314 4.4314 90.00 90.00 90.00
Site moments in Bohr magnetons follow the coordinates.
Positions (direct):
Sn: 0.0000 0.5000 0.0000  -0.03
Sn: 0.0000 0.0000 0.5000  -0.03
U: 0.5000 0.5000 0.5000  2.20
Te: 0.5000 0.0000 0.0000  -0.04



A relaxed structure of In2Se, computed with PBE.

Properties
* total DFT energy (no corrections): -3.2358 eV per atom
* magnetization: 0.00 μB/f.u.
* raw formation energy: -5.735 kcal/mol of atoms
* polymorph energy (0 for the lowest one): 0.055 eV/atom
* D(E_F): 7.6 states/eV/cell

Lattice parameters (Å, degrees): 3.9708 11.4616 15.6173 90.00 90.00 90.00
Positions (direct):
In: 0.0000 0.1865 0.0236
In: 0.0000 0.7495 0.2532
In: 0.5000 0.6865 0.4764
Se: 0.0000 0.0715 0.1844
In: 0.5000 0.9004 0.1273
Se: 0.5000 0.5715 0.3156
In: 0.0000 0.4004 0.3727
In: 0.0000 0.2505 0.7468
In: 0.0000 0.9043 0.6140
Se: 0.0000 0.8469 0.4194
Se: 0.5000 0.6531 0.9194
In: 0.5000 0.0996 0.8727
Se: 0.0000 0.9285 0.8156
In: 0.5000 0.5957 0.1140
In: 0.0000 0.0957 0.3860
In: 0.5000 0.4043 0.8860
Se: 0.5000 0.4285 0.6844
In: 0.0000 0.8135 0.9764
In: 0.0000 0.5996 0.6273
Se: 0.0000 0.1531 0.5806
Se: 0.5000 0.3469 0.0806
In: 0.5000 0.3135 0.5236
In: 0.5000 0.7505 0.7532
In: 0.5000 0.2495 0.2468



A relaxed structure of HfNb3W, computed with PBE.

Properties
* total DFT energy (no corrections): -10.5303 eV per atom
* magnetization: 0.00 μB/f.u.
* polymorph energy (0 for the lowest one): 0.000 eV/atom
* ΔH_f (0 K): 0.5 eV per formula unit
* D(E_F): 18.6 states/eV/cell

Lattice parameters (Å, degrees): 7.1468 10.5411 5.1957 75.49 90.00 90.00
Positions (direct):
Hf: 0.9498 0.6455 0.4296
Nb: 0.6563 0.4357 0.5273
Nb: 0.5837 0.9527 0.7739
Nb: 0.5989 0.7901 0.3564
Nb: 0.4163 0.0473 0.2261
W: 0.2502 0.8138 0.0953
W: 0.7498 0.1862 0.9047
Nb: 0.1563 0.5643 0.9727
Nb: 0.9163 0.9527 0.2739
Hf: 0.4498 0.3545 0.0704
Nb: 0.4011 0.2099 0.6436
Nb: 0.0989 0.2099 0.1436
Hf: 0.0502 0.3545 0.5704
Hf: 0.5502 0.6455 0.9296
W: 0.7502 0.1862 0.4047
Nb: 0.3437 0.5643 0.4727
W: 0.2498 0.8138 0.5953
Nb: 0.0837 0.0473 0.7261
Nb: 0.8437 0.4357 0.0273
Nb: 0.9011 0.7901 0.8564



A relaxed structure of MgSc2Cu, computed with PBE.

Properties
* total DFT energy (no corrections): -4.6670 eV per atom
* magnetization: 1.48 μB/f.u.
* ΔH_f (0 K): -0.3 eV per formula unit
* D(E_F): 3.8 states/eV/cell

Lattice parameters (Å, degrees): 3.2653 3.2653 7.6925 90.00 90.00 90.00
Site moments in Bohr magnetons follow the coordinates.
Positions (direct):
Cu: 0.0000 0.0000 0.5020  0.02
Sc: 0.5000 0.5000 0.2958  0.33
Sc: 0.0000 0.0000 0.9994  0.49
Mg: 0.5000 0.5000 0.7028  0.01



A relaxed structure of Ba2LiAg16, computed with PBE.

Properties
* total DFT energy (no corrections): -2.8225 eV per atom
* magnetization: 0.00 μB/f.u.
* ΔH_f (0 K): -2.2 eV per formula unit
* D(E_F): 4.1 states/eV/cell

Lattice parameters (Å, degrees): 7.4553 7.4553 7.4553 82.59 82.59 82.59
Positions (direct):
Ba: 0.3380 0.3380 0.3380
Ag: 0.2937 0.7065 0.0000
Ag: 0.0939 0.0939 0.0939
Ag: 0.2937 0.0000 0.7065
Ag: 0.7065 0.0000 0.2937
Ag: 0.6564 0.6564 0.1535
Ag: 0.0000 0.7065 0.2937
Ag: 0.3434 0.3434 0.8469
Ag: 0.1535 0.6564 0.6564
Li: 0.9115 0.9115 0.9115
Ag: 0.5006 0.9995 0.9995
Ag: 0.8469 0.3434 0.3434
Ba: 0.6567 0.6567 0.6567
Ag: 0.6564 0.1535 0.6564
Ag: 0.9995 0.5006 0.9995
Ag: 0.0000 0.2937 0.7065
Ag: 0.3434 0.8469 0.3434
Ag: 0.7065 0.2937 0.0000
Ag: 0.9995 0.9995 0.5006



A relaxed structure of BaUI2O8, computed with PBE.

Properties
* total DFT energy (no corrections): -6.0785 eV per atom
* magnetization: 2.02 μB/f.u.
* raw formation energy: -32.603 kcal/mol of atoms
* D(E_F): 5.9 states/eV/cell

Lattice parameters (Å, degrees): 6.4679 6.4679 7.3748 90.00 90.00 120.00
Site moments in Bohr magnetons follow the coordinates.
Positions (direct):
O: 0.6974 0.8487 0.8102  -0.01
O: 0.1513 0.3026 0.8102  -0.01
I: 0.3333 0.6667 0.8006  0.10
O: 0.8487 0.1513 0.1898  -0.01
I: 0.6667 0.3333 0.1994  0.10
O: 0.6667 0.3333 0.4435  0.01
O: 0.1513 0.8487 0.8102  -0.01
O: 0.3026 0.1513 0.1898  -0.01
Ba: 0.0000 0.0000 0.5000  0.01
O: 0.8487 0.6974 0.1898  -0.01
O: 0.3333 0.6667 0.5565  0.01
U: 0.0000 0.0000 0.0000  1.70



A relaxed structure of Ac8TeRh3Br4, computed with PBE.

Properties
* total DFT energy (no corrections): -5.1825 eV per atom
* magnetization: 0.00 μB/f.u.
* raw formation energy: -26.181 kcal/mol of atoms
* D(E_F): 8.6 states/eV/cell

Lattice parameters (Å, degrees): 9.0161 9.6503 9.0156 117.83 120.00 90.00
Positions (direct):
Ac: 0.2684 0.3045 0.5369
Ac: 0.7050 0.7020 0.9533
Br: 0.5000 0.0000 0.0000
Rh: 0.0000 0.5000 0.5000
Te: 0.0000 0.5000 0.0000
Ac: 0.2483 0.7020 0.9533
Br: 0.0000 0.0000 0.0000
Ac: 0.2484 0.7017 0.4967
Rh: 0.5000 0.5000 0.0000
Ac: 0.2950 0.2980 0.0467
Ac: 0.7517 0.2980 0.0467
Br: 0.5000 0.0000 0.5000
Br: 0.0000 0.0000 0.5000
Rh: 0.5000 0.5000 0.5000
Ac: 0.7316 0.6955 0.4631
Ac: 0.7516 0.2983 0.5033



A relaxed structure of Sm2BiS5, computed with PBE.

Properties
* total DFT energy (no corrections): -5.4868 eV per atom
* magnetization: 0.00 μB/f.u.
* raw formation energy: -28.646 kcal/mol of atoms
* D(E_F): 5.0 states/eV/cell

Lattice parameters (Å, degrees): 5.4003 7.4234 13.3471 90.00 90.00 111.33
Positions (direct):
Sm: 0.8431 0.6862 0.0682
S: 0.0402 0.0804 0.3990
S: 0.0402 0.0804 0.1010
S: 0.9598 0.9196 0.8990
Sm: 0.8431 0.6862 0.4318
Sm: 0.1569 0.3138 0.5682
S: 0.2974 0.5948 0.0846
Bi: 0.1671 0.3341 0.2500
S: 0.7026 0.4052 0.9154
Sm: 0.1569 0.3138 0.9318
S: 0.2687 0.5373 0.7500
S: 0.2974 0.5948 0.4154
S: 0.7026 0.4052 0.5846
S: 0.7313 0.4627 0.2500
S: 0.9598 0.9196 0.6010
Bi: 0.8329 0.6659 0.7500



A relaxed structure of Al2HOs, computed with PBE.

Properties
* total DFT energy (no corrections): -5.0350 eV per atom
* magnetization: 0.00 μB/f.u.
* polymorph energy (0 for the lowest one): 0.144 eV/atom
* D(E_F): 4.6 states/eV/cell

Lattice parameters (Å, degrees): 4.7170 4.7170 5.6840 65.48 65.48 90.00
Positions (direct):
H: 0.5000 0.5000 0.0000
Os: 0.7500 0.2500 0.5000
Al: 0.3750 0.5213 0.7500
Al: 0.4787 0.1250 0.2500
H: 0.2500 0.7500 0.5000
Os: 0.0000 0.0000 0.0000
Al: 0.2713 0.6250 0.2500
Al: 0.8750 0.7287 0.7500